Record 1
AlZnCl2: relaxed, PBE.

Summary:
**Energy relative to the elements, uncorrected**: -0.14 eV/atom
**N(E_F)**: 0.58 states/eV per atom
**Energy relative to the lowest polymorph listed for this composition**: 553 meV per atom
**Density**: 3144 kg/m3

Cell: 3.5460 3.5467 6.8567 Å, 90.00 90.00 90.00°
Fractional coordinates of all 4 atoms:
Zn (0.5000, 0.5000, 0.2500)
Al (0.5000, 0.5000, 0.7500)
Cl (0.0000, 0.0000, 0.0111)
Cl (0.0000, 0.0000, 0.4889)


Record 2
SnHOs2: relaxed, PBE.

Summary:
**N(E_F)**: 0.45 states/eV per atom
**Energy relative to the lowest polymorph listed for this composition**: 110 meV per atom
**Density**: 13872 kg/m3

Cell: 5.4963 4.5071 5.5043 Å, 90.00 118.57 90.00°
Fractional coordinates of all 8 atoms:
Sn (0.4483, 0.5000, 0.2737)
Sn (0.7290, 0.0000, 0.9752)
H (0.7461, 0.0000, 0.4980)
H (0.2476, 0.0000, 0.4743)
Os (0.9409, 0.5000, 0.2940)
Os (0.9383, 0.5000, 0.8228)
Os (0.4005, 0.5000, 0.7399)
Os (0.0823, 0.0000, 0.6490)


Record 3
AcZnGaAu2: relaxed, PBE.

Summary:
**Energy of formation from the pure elements**: -0.616 eV per atom
**N(E_F)**: 0.70 states/eV per atom
**Density**: 11161 kg/m3

Cell: 4.4628 4.4628 6.4697 Å, 110.18 110.18 90.00°
Fractional coordinates of all 5 atoms:
Ac (0.0000, 0.0000, 0.0000)
Zn (0.7500, 0.2500, 0.5000)
Ga (0.2500, 0.7500, 0.5000)
Au (0.6244, 0.6244, 0.2488)
Au (0.3756, 0.3756, 0.7512)


Record 4
Sr2CuP: relaxed, PBE.

Summary:
**Energy of formation from the pure elements**: -0.265 eV per atom
**N(E_F)**: 0.38 states/eV per atom
**Density**: 4260 kg/m3

Cell: 6.3131 6.3131 6.3131 Å, 139.50 139.50 58.62°
Fractional coordinates of all 4 atoms:
Cu (0.5000, 0.5000, 0.0000)
P (0.7500, 0.2500, 0.5000)
Sr (0.0000, 0.0000, 0.0000)
Sr (0.2500, 0.7500, 0.5000)